## P
## Mg2MnSbO6 (PBE+U)

Data for Mg2MnSbO6 after structural relaxation.

Unit cell a=5.128 b=5.233 c=5.461 alpha=62.66 beta=89.82 gamma=61.78
Space group P1 (No. 1)
Unique sites:
Mg: 0.000 0.000 0.000 x1
Mg: 0.489 0.013 0.491 x1
Mn: 0.280 0.437 0.867 x1
Sb: 0.786 0.427 0.377 x1
O: 0.073 0.252 0.163 x1
O: 0.176 0.251 0.669 x1
O: 0.401 0.526 0.160 x1
O: 0.564 0.534 0.664 x1
O: 0.695 0.893 0.186 x1
O: 0.881 0.956 0.655 x1

## Properties
- M_tot (μB per formula unit) = 4.00
- calculated volume (Å³/f.u.) = 110.33



## Q
## Mg2MnSbO6 (PBE+U)

Data for Mg2MnSbO6 after structural relaxation.

Unit cell a=5.319 b=7.553 c=5.400 alpha=90.00 beta=94.52 gamma=90.00
Space group P2_1/m (No. 11)
Unique sites:
Mg: 0.025 0.250 0.067 x2
Mg: 0.467 0.750 0.474 x2
Mn: 0.000 0.000 0.500 x2
Sb: 0.500 0.000 0.000 x2
O: 0.109 0.750 0.575 x2
O: 0.169 0.063 0.822 x4
O: 0.343 0.071 0.303 x4
O: 0.366 0.750 0.082 x2

## Properties
- M_tot (μB per formula unit) = 4.00
- calculated volume (Å³/f.u.) = 108.15



Winner for stability: P



## P
## Mg2MnSnO (PBE+U)

Data for Mg2MnSnO after structural relaxation.

Unit cell a=4.313 b=4.313 c=4.592 alpha=90.00 beta=90.00 gamma=90.00
Space group P4/mmm (No. 123)
Unique sites:
Mg: 0.000 0.500 0.000 x2
Mn: 0.000 0.000 0.500 x1
Sn: 0.500 0.500 0.500 x1
O: 0.000 0.000 0.000 x1

## Properties
- M_tot (μB per formula unit) = 4.89
- calculated volume (Å³/f.u.) = 85.42



## Q
## Mg2MnSnO (PBE+U)

Data for Mg2MnSnO after structural relaxation.

Unit cell a=5.751 b=5.751 c=4.164 alpha=90.00 beta=90.00 gamma=90.00
Space group P4/mmm (No. 123)
Unique sites:
Mg: 0.000 0.500 0.000 x2
Mn: 0.000 0.000 0.500 x1
Sn: 0.500 0.500 0.000 x1
O: 0.500 0.500 0.500 x1

## Properties
- M_tot (μB per formula unit) = 5.05
- calculated volume (Å³/f.u.) = 137.72



Winner for stability: P